Zn4CoIr: optimized geometry, PBE-GGA.

Unit cell a=4.862 b=4.862 c=4.862 alpha=60.00 beta=60.00 gamma=60.00
Last column: magnetic moment on the atom in μB.
Sites, in units of the cell vectors:
Zn: 0.625 0.625 0.125  -0.01
Zn: 0.625 0.125 0.625  -0.01
Zn: 0.625 0.625 0.625  -0.01
Zn: 0.125 0.625 0.625  -0.01
Co: 0.250 0.250 0.250  1.47
Ir: 0.000 0.000 0.000  0.25

Computed properties:
raw total energy	-3.397	eV per atom
symmetry	No. 216
crystal system	cubic

=====

ZnCoIr: optimized geometry, PBE-GGA.

Unit cell a=3.989 b=3.989 c=3.989 alpha=60.00 beta=60.00 gamma=60.00
Last column: magnetic moment on the atom in μB.
Sites, in units of the cell vectors:
Co: 0.750 0.750 0.750  1.42
Ir: 0.000 0.000 0.000  0.72
Zn: 0.500 0.500 0.500  -0.03

Computed properties:
raw total energy	-5.506	eV per atom
relative energy among the computed polymorphs	276	meV per atom
symmetry	No. 216
crystal system	cubic

=====

ZnCoIr: optimized geometry, PBE-GGA.

Unit cell a=4.579 b=4.579 c=4.579 alpha=145.10 beta=133.10 gamma=59.77
Last column: magnetic moment on the atom in μB.
Sites, in units of the cell vectors:
Co: 0.996 0.996 0.000  1.69
Ir: 0.338 0.338 0.000  0.55
Zn: 0.666 0.666 0.000  -0.02

Computed properties:
raw total energy	-5.758	eV per atom
relative energy among the computed polymorphs	25	meV per atom
symmetry	No. 44
crystal system	orthorhombic

=====

Energy of formation for every record listed, in sequence, given in meV/atom: 113.8; 241.2; -10.6.